[1]
First-principles (PBE-GGA) data for crystalline CePrErLu at its relaxed geometry, as listed in Alexandria via LeMat-Bulk.

The space group is F-43m (No. 216) and the conventional cell measures 8.002, 8.002 and 8.002 Å, with angles of 90.00, 90.00 and 90.00 degrees. Symmetry generates all atoms from Ce at (0.000, 0.000, 0.000), Pr at (0.000, 0.000, 0.500), Er at (0.250, 0.250, 0.250) and Lu at (0.250, 0.250, 0.750).

Its volume is 32.02 Å³/atom. The total magnetic moment comes out at 0.1467 μB per atom. The formation energy comes out at 0.14 eV per atom.



[2]
First-principles (PBE-GGA) data for crystalline Ho3ScAl4 at its relaxed geometry, as listed in Alexandria via LeMat-Bulk.

The space group is P4/mmm (No. 123) and the conventional cell measures 3.522, 3.522 and 14.219 Å, with angles of 90.00, 90.00 and 90.00 degrees. Symmetry generates all atoms from Ho at (0.000, 0.000, 0.000), Ho at (0.000, 0.000, 0.259), Sc at (0.000, 0.000, 0.500), Al at (0.500, 0.500, 0.130) and Al at (0.500, 0.500, 0.390).

Its volume is 22.05 Å³/atom. The total magnetic moment comes out at 0.0000 μB per atom. The formation energy comes out at -0.41 eV per atom.



[3]
First-principles (PBE-GGA) data for crystalline CdTc at its relaxed geometry, as listed in Alexandria via LeMat-Bulk.

The space group is C2/m (No. 12) and the conventional cell measures 9.606, 2.930 and 8.183 Å, with angles of 90.00, 113.56 and 90.00 degrees. Symmetry generates all atoms from Cd at (0.000, 0.000, 0.000), Cd at (0.172, 0.500, 0.814), Tc at (0.000, 0.000, 0.500) and Tc at (0.164, 0.500, 0.372).

Its volume is 17.59 Å³/atom. The total magnetic moment comes out at 0.0022 μB per atom. The formation energy comes out at 0.26 eV per atom. The value obtained for the distance to the lowest polymorph of the same formula is 153 meV per atom.



[4]
First-principles (PBE-GGA) data for crystalline Ho2Zn2Rh5Pb at its relaxed geometry, as listed in Alexandria via LeMat-Bulk.

The space group is P4/mbm (No. 127) and the conventional cell measures 9.669, 9.669 and 3.730 Å, with angles of 90.00, 90.00 and 90.00 degrees. Symmetry generates all atoms from Ho at (0.174, 0.326, 0.000), Zn at (0.123, 0.623, 0.000), Rh at (0.000, 0.500, 0.500), Rh at (0.071, 0.791, 0.500) and Pb at (0.000, 0.000, 0.000).

Its volume is 17.44 Å³/atom. The total magnetic moment comes out at 0.0000 μB per atom. The formation energy comes out at -0.57 eV per atom.



[5]
First-principles (PBE-GGA) data for crystalline SiAu2BrF at its relaxed geometry, as listed in Alexandria via LeMat-Bulk.

The space group is P4/mmm (No. 123) and the conventional cell measures 4.945, 4.945 and 3.953 Å, with angles of 90.00, 90.00 and 90.00 degrees. Symmetry generates all atoms from Si at (0.000, 0.000, 0.000), Au at (0.000, 0.500, 0.000), Br at (0.500, 0.500, 0.500) and F at (0.000, 0.000, 0.500).

The calculation puts the raw formation energy at -0.360 eV/atom. Its volume is 19.33 Å³/atom. The total magnetic moment comes out at 0.0000 μB per atom.



[6]
First-principles (PBE-GGA) data for crystalline Y6Si2HgSe3 at its relaxed geometry, as listed in Alexandria via LeMat-Bulk.

The space group is C2/m (No. 12) and the conventional cell measures 18.333, 4.113 and 8.418 Å, with angles of 90.00, 107.25 and 90.00 degrees. Symmetry generates all atoms from Y at (0.000, 0.000, 0.236), Y at (0.171, 0.500, 0.591), Y at (0.172, 0.500, 0.069), Si at (0.163, 0.000, 0.823), Hg at (0.000, 0.500, 0.500), Se at (0.000, 0.500, 0.000) and Se at (0.167, 0.000, 0.328).

The calculation puts the raw formation energy at -1.241 eV/atom. Its volume is 25.26 Å³/atom. The total magnetic moment comes out at 0.0000 μB per atom.



[7]
First-principles (PBE-GGA) data for crystalline Re2TeW at its relaxed geometry, as listed in Alexandria via LeMat-Bulk.

The space group is C2/m (No. 12) and the conventional cell measures 9.501, 3.068 and 4.743 Å, with angles of 90.00, 97.01 and 90.00 degrees. Symmetry generates all atoms from Re at (0.231, 0.000, 0.217), Te at (0.000, 0.000, 0.500) and W at (0.000, 0.500, 0.000).

The calculation puts the raw formation energy at 0.673 eV/atom. Its volume is 17.15 Å³/atom. The total magnetic moment comes out at 0.0002 μB per atom.



[8]
First-principles (PBE-GGA) data for crystalline Zn3Cd3Hg at its relaxed geometry, as listed in Alexandria via LeMat-Bulk.

The space group is Pm-3n (No. 223) and the conventional cell measures 7.590, 7.590 and 7.590 Å, with angles of 90.00, 90.00 and 90.00 degrees. Symmetry generates all atoms from Zn at (0.000, 0.250, 0.500), Cd at (0.000, 0.500, 0.250) and Hg at (0.000, 0.000, 0.000).

Its volume is 31.23 Å³/atom. The total magnetic moment comes out at 0.0000 μB per atom. The formation energy comes out at 0.40 eV per atom.